Version i
# Ac4HgPt | Alexandria via LeMat-Bulk | PBE | optimized geometry
# - Density of states at the Fermi level: 69.64 states/eV/cell
# - V: 3376 Å³/cell
data_Ac4HgPt
_chemical_formula_sum 'Ac64 Hg16 Pt16'
_cell_length_a 15.002
_cell_length_b 15.002
_cell_length_c 15.002
_cell_angle_alpha 90.00
_cell_angle_beta 90.00
_cell_angle_gamma 90.00
_symmetry_space_group_name_H-M 'F -4 3 m'
_symmetry_Int_Tables_number 216
_symmetry_space_group_name_Hall 'F -4 2 3'
loop_
_atom_site_label
_atom_site_type_symbol
_atom_site_fract_x
_atom_site_fract_y
_atom_site_fract_z
Ac1 Ac 0.000 0.000 0.187
Ac2 Ac 0.058 0.250 0.750
Ac3 Ac 0.101 0.101 0.399
Hg1 Hg 0.164 0.164 0.164
Pt1 Pt 0.106 0.106 0.606

***

Version ii
# Ac4HgPt | Alexandria via LeMat-Bulk | PBE | optimized geometry
# - Density of states at the Fermi level: 15.42 states/eV/cell
# - V: 475 Å³/cell
data_Ac4HgPt
_chemical_formula_sum 'Ac8 Hg2 Pt2'
_cell_length_a 7.818
_cell_length_b 7.785
_cell_length_c 7.856
_cell_angle_alpha 90.00
_cell_angle_beta 96.50
_cell_angle_gamma 90.00
_symmetry_space_group_name_H-M 'P 1 21/c 1'
_symmetry_Int_Tables_number 14
loop_
_symmetry_equiv_pos_as_xyz
'x,y,z'
'-x,-y,-z'
'-x,y+1/2,-z+1/2'
'x,-y+1/2,z+1/2'
loop_
_atom_site_label
_atom_site_type_symbol
_atom_site_fract_x
_atom_site_fract_y
_atom_site_fract_z
Ac1 Ac 0.147 0.162 0.189
Ac2 Ac 0.334 0.649 0.123
Hg1 Hg 0.500 0.000 0.000
Pt1 Pt 0.000 0.000 0.500

***

Relative energies in eV/atom: version i 0.000; version ii 0.074